1.
Material: Li5TiN3
Method: DFT, meta-GGA SCAN
State: PBEsol geometry Values from VASP.

Results
Calculated volume: 1348.5 Å³ per cell
Space-group type: No. 1
Formation energy without anion corrections: -99.2 kJ per mole of atoms
DOS(E_F): 0.0 states/eV/f.u.
Size of the total moment: 0.208 μB/cell

```
&SYSTEM
  ibrav = 0, nat = 144, ntyp = 3
/
ATOMIC_SPECIES
N 14.01 N.upf
Ti 47.87 Ti.upf
Li 6.94 Li.upf
CELL_PARAMETERS angstrom
8.3526 0.0007 0.0010
-2.7747 7.8802 0.0018
-2.7759 -3.9348 20.4854
ATOMIC_POSITIONS crystal
N 0.6557 0.6490 0.3264
Ti 0.5087 0.2392 0.5009
N 0.9199 0.3982 0.3371
Li 0.5167 0.7769 0.0071
Ti 0.8379 0.0980 0.1654
Li 0.7774 0.0177 0.4890
Li 0.4192 0.1752 0.8228
Li 0.2338 0.9662 0.4938
Li 0.5170 0.0323 0.2527
Li 0.7424 0.2885 0.2528
Li 0.7387 0.2421 0.7590
Li 0.0854 0.0610 0.4169
N 0.8356 0.3353 0.1655
Ti 0.2590 0.7531 0.2479
Li 0.4299 0.6806 0.3450
N 0.6626 0.1548 0.8400
Li 0.8259 0.3304 0.4226
Li 0.2314 0.2625 0.2523
Li 0.7542 0.5167 0.4921
N 0.5078 0.0038 0.4990
N 0.9489 0.9164 0.8355
N 0.0112 0.7347 0.2408
Li 0.5913 0.2983 0.6612
Li 0.6831 0.1188 0.5853
Li 0.0309 0.9970 0.2464
N 0.0717 0.8230 0.4156
Li 0.4074 0.9109 0.0912
Ti 0.8396 0.5745 0.1671
Li 0.8284 0.8277 0.4066
Li 0.1066 0.0971 0.9225
Li 0.2381 0.7242 0.7373
N 0.3522 0.6028 0.4283
Li 0.9666 0.2303 0.9853
Li 0.0864 0.8461 0.1577
N 0.3868 0.1568 0.0827
N 0.0585 0.5728 0.6568
Li 0.0627 0.8351 0.6680
N 0.3325 0.8319 0.1735
N 0.7284 0.7583 0.4977
Li 0.5997 0.6190 0.9223
N 0.8241 0.5883 0.9201
Ti 0.1688 0.4289 0.8312
Li 0.1882 0.4438 0.3445
Li 0.4345 0.7074 0.8332
Ti 0.4919 0.4944 0.7438
Li 0.1509 0.6587 0.0876
Li 0.4550 0.4477 0.5904
Li 0.4991 0.9822 0.7626
Li 0.7631 0.0034 0.0059
Li 0.4667 0.2439 0.9997
Li 0.8085 0.5810 0.6667
N 0.4015 0.9063 0.3231
Li 0.9650 0.5044 0.7464
Li 0.8353 0.3569 0.9163
Ti 0.5809 0.0786 0.9150
Li 0.6329 0.1536 0.0706
Li 0.0620 0.6035 0.9183
Li 0.6622 0.4187 0.8436
Li 0.3227 0.3373 0.4186
N 0.2512 0.7237 0.0042
N 0.2756 0.5228 0.2494
Li 0.0162 0.2535 0.4845
Li 0.8548 0.1085 0.6764
Ti 0.1630 0.1669 0.0798
N 0.5893 0.0585 0.6694
Li 0.4065 0.9489 0.5854
Li 0.5802 0.5710 0.4133
N 0.4953 0.2758 0.2518
N 0.1097 0.3544 0.9127
Li 0.9156 0.1628 0.8399
N 0.7134 0.4899 0.7475
N 0.5907 0.8563 0.9181
N 0.0166 0.0130 0.0067
N 0.8150 0.8374 0.6666
Li 0.3501 0.5896 0.1522
Ti 0.9219 0.1710 0.3316
Ti 0.9218 0.4140 0.5809
N 0.2771 0.2495 0.5101
N 0.7746 0.0237 0.2461
N 0.5030 0.7302 0.7402
Li 0.1585 0.7019 0.5789
Li 0.9158 0.6426 0.3406
Li 0.3064 0.8318 0.4074
Ti 0.5100 0.5061 0.2508
Ti 0.5882 0.8316 0.6648
N 0.6765 0.3984 0.5766
N 0.4376 0.6900 0.5820
N 0.1648 0.9505 0.5872
N 0.7253 0.2325 0.9917
N 0.9975 0.4960 0.5082
N 0.3987 0.4236 0.8211
Li 0.8844 0.6501 0.8381
Li 0.7022 0.9106 0.8367
N 0.0114 0.2725 0.7603
Ti 0.5061 0.7634 0.4995
Li 0.8583 0.8406 0.9238
N 0.3347 0.0659 0.9086
Ti 0.2540 0.4983 0.9977
Li 0.7880 0.7760 0.2597
N 0.9486 0.1871 0.5840
Li 0.3304 0.0874 0.1756
Li 0.1418 0.9099 0.3362
N 0.1505 0.1733 0.3335
Ti 0.1691 0.9044 0.8325
N 0.2376 0.9798 0.7560
Li 0.7241 0.4889 0.9957
Li 0.3421 0.0585 0.6781
N 0.3365 0.3328 0.6656
N 0.9012 0.6489 0.0918
Li 0.6632 0.3975 0.3414
Li 0.2509 0.5032 0.5083
Li 0.0838 0.5908 0.4263
N 0.1646 0.6615 0.8302
Li 0.6487 0.8991 0.3251
Li 0.5873 0.8352 0.1756
N 0.4809 0.5052 0.0009
Li 0.6561 0.6735 0.0833
Li 0.9016 0.8917 0.0787
Li 0.7788 0.7537 0.7538
Li 0.9786 0.7683 0.4948
Li 0.2965 0.5708 0.6480
N 0.6821 0.9382 0.0951
Li 0.1005 0.3796 0.1657
Li 0.0948 0.3572 0.6813
N 0.5693 0.3169 0.4259
N 0.1723 0.4058 0.0751
Li 0.5668 0.2964 0.1618
Li 0.3914 0.1619 0.3331
Li 0.5813 0.0666 0.4039
Li 0.6978 0.6633 0.5788
N 0.6070 0.5792 0.1726
Ti 0.1812 0.1764 0.5863
Li 0.2276 0.2168 0.7445
Li 0.2456 0.9658 0.9980
Li 0.9881 0.0059 0.7525
Li 0.8995 0.9241 0.5841
N 0.0705 0.0965 0.1598
Li 0.3682 0.3348 0.9112
Li 0.9844 0.7249 0.0030
Li 0.3356 0.7955 0.9226
Li 0.0121 0.4784 0.2596
Li 0.4479 0.4176 0.0865
Li 0.9008 0.3901 0.0698
N 0.8387 0.0861 0.4052
```

2.
Material: Rb2Ni3S4
Method: DFT, meta-GGA SCAN
State: PBEsol geometry Values from VASP.

Results
Calculated volume: 192.9 Å³ per cell
Space-group type: No. 69
Formation energy without anion corrections: -84.7 kJ per mole of atoms
Size of the total moment: 0.000 μB/cell

```
&SYSTEM
  ibrav = 0, nat = 9, ntyp = 3
/
ATOMIC_SPECIES
S 32.06 S.upf
Ni 58.69 Ni.upf
Rb 85.47 Rb.upf
CELL_PARAMETERS angstrom
5.7112 -0.0107 0.0000
-2.7570 5.0017 0.0000
-1.4771 -2.4955 6.7598
ATOMIC_POSITIONS crystal
S 0.7272 0.0626 0.7898
Ni 0.0000 0.0000 0.0000
Ni 0.5000 0.0000 0.0000
S 0.2728 0.9374 0.2102
Ni 0.0000 0.5000 0.0000
Rb 0.3405 0.3405 0.6809
Rb 0.6595 0.6595 0.3191
S 0.9374 0.2728 0.2102
S 0.0626 0.7272 0.7898
```

3.
Material: GaPd2Br
Method: DFT, meta-GGA SCAN
State: PBEsol geometry Values from VASP.

Results
Calculated volume: 64.7 Å³ per cell
Space-group type: No. 225
Formation energy without anion corrections: -0.7 kJ per mole of atoms
DOS(E_F): 0.7 states/eV/f.u.
Size of the total moment: 0.000 μB/cell

```
&SYSTEM
  ibrav = 0, nat = 4, ntyp = 3
/
ATOMIC_SPECIES
Ga 69.72 Ga.upf
Pd 106.42 Pd.upf
Br 79.90 Br.upf
CELL_PARAMETERS angstrom
4.5070 0.0000 0.0000
2.2535 3.9032 0.0000
2.2535 1.3011 3.6800
ATOMIC_POSITIONS crystal
Ga 0.0000 0.0000 0.0000
Pd 0.7500 0.7500 0.7500
Pd 0.2500 0.2500 0.2500
Br 0.5000 0.5000 0.5000
```

4.
Material: Li2FeRh
Method: DFT, meta-GGA SCAN
State: PBEsol geometry Values from VASP.

Results
Calculated volume: 50.4 Å³ per cell
Space-group type: No. 71
DOS(E_F): 2.5 states/eV/f.u.
Size of the total moment: 3.205 μB/cell
ΔE_f: -86 meV per atom

```
&SYSTEM
  ibrav = 0, nat = 4, ntyp = 3
/
ATOMIC_SPECIES
Fe 55.84 Fe.upf
Rh 102.91 Rh.upf
Li 6.94 Li.upf
CELL_PARAMETERS angstrom
2.8603 0.0000 0.0000
0.0000 4.0645 0.0000
-1.4302 -2.0322 4.3381
ATOMIC_POSITIONS crystal
Fe 0.5000 0.0000 0.0000
Rh 0.0000 0.5000 0.0000
Li 0.7485 0.7485 0.4970
Li 0.2515 0.2515 0.5030
```

5.
Material: Os2RuRh
Method: DFT, meta-GGA SCAN
State: PBEsol geometry Values from VASP.

Results
Calculated volume: 54.7 Å³ per cell
Space-group type: No. 25
DOS(E_F): 3.0 states/eV/f.u.
Size of the total moment: 0.000 μB/cell
ΔE_f: 95 meV per atom
Excess energy over the best structure of this formula in the dataset: 0.000 eV/atom

```
&SYSTEM
  ibrav = 0, nat = 4, ntyp = 3
/
ATOMIC_SPECIES
Ru 101.07 Ru.upf
Os 190.23 Os.upf
Rh 102.91 Rh.upf
CELL_PARAMETERS angstrom
2.6803 0.0000 0.0000
0.0000 3.8033 0.0000
0.0000 0.0000 5.3647
ATOMIC_POSITIONS crystal
Ru 0.5000 0.5000 0.7526
Os 0.5000 0.5000 0.2470
Rh 0.0000 0.0000 0.5009
Os 0.0000 0.0000 0.9995
```

6.
Material: LiMg2Al
Method: DFT, meta-GGA SCAN
State: PBEsol geometry Values from VASP.

Results
Calculated volume: 77.3 Å³ per cell
Space-group type: No. 25
DOS(E_F): 1.4 states/eV/f.u.
Size of the total moment: 0.045 μB/cell
ΔE_f: -18 meV per atom

```
&SYSTEM
  ibrav = 0, nat = 4, ntyp = 3
/
ATOMIC_SPECIES
Mg 24.30 Mg.upf
Li 6.94 Li.upf
Al 26.98 Al.upf
CELL_PARAMETERS angstrom
3.0130 0.0000 0.0000
0.0000 4.2633 0.0000
0.0000 0.0000 6.0215
ATOMIC_POSITIONS crystal
Mg 0.5000 0.5000 0.2659
Li 0.5000 0.5000 0.7384
Mg 0.0000 0.0000 0.9913
Al 0.0000 0.0000 0.5044
```

7.
Material: DyNiGe
Method: DFT, meta-GGA SCAN
State: PBEsol geometry Values from VASP.

Results
Calculated volume: 204.0 Å³ per cell
Space-group type: No. 62
DOS(E_F): 1.8 states/eV/f.u.
Size of the total moment: 0.000 μB/cell
ΔE_f: -879 meV per atom

```
&SYSTEM
  ibrav = 0, nat = 12, ntyp = 3
/
ATOMIC_SPECIES
Dy 162.50 Dy.upf
Ni 58.69 Ni.upf
Ge 72.64 Ge.upf
CELL_PARAMETERS angstrom
-3.6166 1.8240 -1.0229
0.5218 -2.5100 -6.3203
-3.5411 -5.8763 2.0413
ATOMIC_POSITIONS crystal
Dy 0.2500 0.4910 0.7042
Ni 0.7500 0.8086 0.5824
Ge 0.2500 0.8059 0.4112
Dy 0.2500 0.9910 0.7958
Ge 0.7500 0.6941 0.9112
Dy 0.7500 0.5090 0.2958
Ni 0.2500 0.6914 0.0824
Ni 0.2500 0.1914 0.4176
Dy 0.7500 0.0090 0.2042
Ni 0.7500 0.3086 0.9176
Ge 0.7500 0.1941 0.5888
Ge 0.2500 0.3059 0.0888
```

8.
Material: Cr2FeTc
Method: DFT, meta-GGA SCAN
State: PBEsol geometry Values from VASP.

Results
Calculated volume: 47.0 Å³ per cell
Space-group type: No. 99
DOS(E_F): 3.2 states/eV/f.u.
Size of the total moment: 2.262 μB/cell
ΔE_f: 62 meV per atom
Excess energy over the best structure of this formula in the dataset: 0.000 eV/atom

```
&SYSTEM
  ibrav = 0, nat = 4, ntyp = 3
/
ATOMIC_SPECIES
Cr 52.00 Cr.upf
Tc 98.00 Tc.upf
Fe 55.84 Fe.upf
CELL_PARAMETERS angstrom
2.8561 0.0000 0.0000
0.0000 2.8561 0.0000
0.0000 0.0000 5.7633
ATOMIC_POSITIONS crystal
Cr 0.0000 0.0000 0.0154
Tc 0.5000 0.5000 0.7585
Cr 0.5000 0.5000 0.2517
Fe 0.0000 0.0000 0.4743
```

What is the formula in the fifth record? Os2RuRh